Entry 1:
Here is crystalline Y2Fe at its relaxed geometry from Alexandria. Energies are from PBE-GGA.

Computed properties:
DFT total energy, eV/atom: -6.5694
Total magnetic moment, μB/cell: 2.1
Symmetry: P6/mmm

Cell lengths 5.108, 5.108, 3.077 Å; angles 90.00, 90.00, 120.00 degrees
Sites, in units of the cell vectors:
Y (0.333, 0.667, 0.000)
Y (0.667, 0.333, 0.000)
Fe (0.000, 0.000, 0.500)

***

Entry 2:
Here is crystalline Y2Fe at its relaxed geometry from Alexandria. Energies are from PBE-GGA.

Computed properties:
DFT total energy, eV/atom: -6.9509
Total magnetic moment, μB/cell: 0.4
Symmetry: Pa-3

Cell lengths 6.657, 6.657, 6.657 Å; angles 90.00, 90.00, 90.00 degrees
Sites, in units of the cell vectors:
Y (0.162, 0.162, 0.162)
Y (0.162, 0.338, 0.662)
Y (0.338, 0.662, 0.162)
Y (0.338, 0.838, 0.662)
Y (0.662, 0.162, 0.338)
Y (0.662, 0.338, 0.838)
Y (0.838, 0.662, 0.338)
Y (0.838, 0.838, 0.838)
Fe (0.000, 0.000, 0.500)
Fe (0.000, 0.500, 0.000)
Fe (0.500, 0.000, 0.000)
Fe (0.500, 0.500, 0.500)

***

Number 1: calculated volume 23.173 Å³/atom, DOS at the Fermi energy 4.2 states/eV/cell. Number 2: calculated volume 24.584 Å³/atom, DOS at the Fermi energy 15.9 states/eV/cell.